1.
Computed, not measured: a relaxed LiHf crystal at the PBE level of DFT.

Cell: 7.3293 7.3293 7.3293 Å, 90.00 90.00 90.00°
With the nearest neighbours (Å) after each atom.
Element x y z (fractional)
Li 0.2500 0.0000 0.5000  4 Hf 2.59
Li 0.7500 0.0000 0.5000  4 Hf 2.59
Li 0.0000 0.5000 0.2500  4 Hf 2.59
Li 0.0000 0.5000 0.7500  4 Hf 2.59
Li 0.5000 0.2500 0.0000  4 Hf 2.59
Li 0.5000 0.7500 0.0000  4 Hf 2.59
Hf 0.2500 0.5000 0.0000  4 Li 2.59
Hf 0.7500 0.5000 0.0000  4 Li 2.59
Hf 0.5000 0.0000 0.2500  4 Li 2.59
Hf 0.5000 0.0000 0.7500  4 Li 2.59
Hf 0.0000 0.2500 0.5000  4 Li 2.59
Hf 0.0000 0.7500 0.5000  4 Li 2.59

Properties
space group: Pm-3n
polymorph energy (0 for the lowest one): 3.92 eV per formula unit
energy of formation from the pure elements: 2.2864 eV per atom
E_tot: -3.65 eV per atom

---

2.
Computed, not measured: a relaxed BaGaAu2 crystal at the PBE level of DFT.

Cell: 4.7374 4.7374 20.7986 Å, 90.00 90.00 90.00°
With the nearest neighbours (Å) after each atom.
Element x y z (fractional)
Ba 0.9991 0.0004 0.3809  8 Au 3.45-3.57, 4 Ga 3.76
Ba 0.9996 0.9991 0.6309  8 Au 3.45-3.57, 4 Ga 3.76
Ba 0.0004 0.0009 0.1309  8 Au 3.45-3.57, 4 Ga 3.76
Ba 0.0009 0.9996 0.8809  8 Au 3.45-3.57, 4 Ga 3.76
Ga 0.5008 0.4992 0.9633  4 Au 2.55-2.64
Ga 0.5008 0.5008 0.2133  4 Au 2.55-2.64
Ga 0.4992 0.4992 0.7133  4 Au 2.55-2.64
Ga 0.4992 0.5008 0.4633  4 Au 2.55-2.64
Au 0.4994 0.4990 0.5904  2 Ga 2.56-2.64
Au 0.5010 0.4994 0.8404  2 Ga 2.56-2.64
Au 0.4990 0.5006 0.3404  2 Ga 2.56-2.64
Au 0.5006 0.5010 0.0904  2 Ga 2.56-2.64
Au 0.9992 0.4998 0.5091  2 Ga 2.55
Au 0.5002 0.9992 0.7591  2 Ga 2.55
Au 0.4998 0.0008 0.2591  2 Ga 2.55
Au 0.0008 0.5002 0.0091  2 Ga 2.55

Properties
space group: P4_1
energy of formation from the pure elements: -0.5433 eV per atom
E_tot: -3.42 eV per atom

---

3.
Computed, not measured: a relaxed NaTc2Ge2 crystal at the PBE level of DFT.

Cell: 4.6246 4.6246 5.5117 Å, 65.20 65.20 90.00°
With the nearest neighbours (Å) after each atom.
Element x y z (fractional)
Na 0.0000 0.0000 0.0000  8 Ge 3.20, 10 Tc 3.33-3.45
Ge 0.7500 0.2500 0.5000  4 Tc 2.56
Ge 0.2500 0.7500 0.5000  4 Tc 2.56
Tc 0.3747 0.3747 0.2506  1 Tc 2.22
Tc 0.6253 0.6253 0.7494  1 Tc 2.22

Properties
space group: I4/mmm
polymorph energy (0 for the lowest one): 0.72 eV per formula unit
energy of formation from the pure elements: 0.1779 eV per atom
E_tot: -6.08 eV per atom

---

4.
Computed, not measured: a relaxed SrBe2Os crystal at the PBE level of DFT.

Cell: 3.4238 3.2054 6.3252 Å, 75.43 90.00 90.00°
With the nearest neighbours (Å) after each atom.
Element x y z (fractional)
Sr 0.5000 0.8049 0.7624  5 Be 2.85-3.10
Os 0.0000 0.5140 0.3481  6 Be 2.24-2.37
Be 0.0000 0.1407 0.0930  2 Be 2.12, 2 Os 2.24
Be 0.5000 0.0404 0.2965  2 Be 2.12, 4 Os 2.36-2.37

Properties
space group: Pm
polymorph energy (0 for the lowest one): 0.78 eV per formula unit
energy of formation from the pure elements: 0.2370 eV per atom
E_tot: -4.85 eV per atom

---

5.
Computed, not measured: a relaxed BaLi2Mo crystal at the PBE level of DFT.

Cell: 3.0464 3.0464 9.4019 Å, 90.00 90.00 90.00°
With the nearest neighbours (Å) after each atom.
Element x y z (fractional)
Ba 0.5000 0.5000 0.7500  4 Ba 3.05
Li 0.0000 0.0000 0.0573  4 Mo 2.81, 4 Li 3.05
Li 0.0000 0.0000 0.4427  4 Mo 2.81, 4 Li 3.05
Mo 0.5000 0.5000 0.2500  8 Li 2.81, 4 Mo 3.05

Properties
space group: P4/mmm
polymorph energy (0 for the lowest one): 0.29 eV per formula unit
energy of formation from the pure elements: 0.8021 eV per atom
E_tot: -3.34 eV per atom

---

6.
Computed, not measured: a relaxed CePrDy4Tm2 crystal at the PBE level of DFT.

Cell: 5.0348 5.0205 11.2032 Å, 63.37 90.00 90.00°
With the nearest neighbours (Å) after each atom.
Element x y z (fractional)
Ce 0.0000 0.5000 0.5000  8 Dy 3.52, 4 Tm 3.56
Pr 0.5000 0.5000 0.0000  4 Tm 3.56, 8 Dy 3.58
Dy 0.0000 0.7536 0.7463  2 Ce 3.52, 4 Tm 3.52-3.57, 4 Dy 3.55-3.56, 2 Pr 3.58
Dy 0.0000 0.2464 0.2537  2 Ce 3.52, 4 Tm 3.52-3.57, 4 Dy 3.55-3.56, 2 Pr 3.58
Dy 0.5000 0.7456 0.2543  4 Tm 3.51-3.58, 2 Ce 3.52, 4 Dy 3.55-3.56, 2 Pr 3.58
Dy 0.5000 0.2544 0.7457  4 Tm 3.51-3.58, 2 Ce 3.52, 4 Dy 3.55-3.56, 2 Pr 3.58
Tm 0.0000 0.0000 0.0000  4 Pr 3.56, 8 Dy 3.57-3.58
Tm 0.5000 0.0000 0.5000  8 Dy 3.51-3.52, 4 Ce 3.56

Properties
space group: Pmmm
energy of formation from the pure elements: 0.0514 eV per atom
E_tot: -4.71 eV per atom

---

Please write out number 3 again, unchanged.
Computed, not measured: a relaxed NaTc2Ge2 crystal at the PBE level of DFT.

Cell: 4.6246 4.6246 5.5117 Å, 65.20 65.20 90.00°
With the nearest neighbours (Å) after each atom.
Element x y z (fractional)
Na 0.0000 0.0000 0.0000  8 Ge 3.20, 10 Tc 3.33-3.45
Ge 0.7500 0.2500 0.5000  4 Tc 2.56
Ge 0.2500 0.7500 0.5000  4 Tc 2.56
Tc 0.3747 0.3747 0.2506  1 Tc 2.22
Tc 0.6253 0.6253 0.7494  1 Tc 2.22

Properties
space group: I4/mmm
polymorph energy (0 for the lowest one): 0.72 eV per formula unit
energy of formation from the pure elements: 0.1779 eV per atom
E_tot: -6.08 eV per atom

---

Look up the E_tot of the fifth one.
-3.34 eV per atom